Density functional theory data (GGA-PBE) for Pr12Ag5Te3 after structural relaxation.

The structure in POSCAR format:
```
Pr12Ag5Te3
1.0
-4.3246 -4.9504 14.1416
-5.4393 -9.8132 -10.8309
15.5662 0.5090 -0.7939
Pr Te Ag
48 12 20
Cartesian
0.3988 -3.5069 8.1947 Pr
7.5355 -6.0722 -6.6835 Pr
8.8313 -9.4429 -6.1900 Pr
-1.5620 -4.6487 -2.6805 Pr
-3.0290 -4.8117 8.7068 Pr
4.0987 -7.4164 -6.3734 Pr
5.7366 -1.8140 -1.0451 Pr
-4.3325 -8.7378 -0.9420 Pr
3.9452 -9.6214 0.0028 Pr
-0.0725 -8.0906 5.8914 Pr
2.1081 -6.8338 -1.6003 Pr
-4.1773 -12.9261 1.6662 Pr
5.4034 -10.7478 -5.6779 Pr
-3.6924 -9.2412 3.6589 Pr
9.9796 -1.3285 0.8505 Pr
9.0770 -4.9757 11.3688 Pr
-1.5381 -4.8034 5.3168 Pr
6.5349 -3.0253 3.9528 Pr
-0.7326 -11.2294 -1.4361 Pr
-1.7333 -8.1824 9.2003 Pr
3.0780 -2.4075 5.1291 Pr
-4.6470 -10.3049 7.0117 Pr
8.3159 -8.3476 1.9116 Pr
-3.2082 -7.5906 -4.2137 Pr
2.7242 -11.8472 -2.6123 Pr
-7.8155 -13.1229 1.7620 Pr
0.3663 -9.2767 -9.0150 Pr
7.3642 -9.6059 5.1972 Pr
5.8748 -6.1640 -3.3747 Pr
1.8571 -4.6333 2.5139 Pr
1.7036 -6.8382 8.8901 Pr
5.4359 -4.9779 11.5318 Pr
5.3258 -5.4063 1.4724 Pr
0.7264 -9.1037 -4.0947 Pr
5.0758 -5.1509 6.6114 Pr
9.0104 -6.6640 6.7305 Pr
10.4492 -3.9497 -4.4950 Pr
0.0657 -12.4407 3.5619 Pr
10.1348 -5.5169 3.4588 Pr
3.6948 -12.2831 3.2642 Pr
13.6177 -1.1317 0.7548 Pr
2.1074 -1.9715 -0.7475 Pr
3.6941 -7.4208 4.1170 Pr
-3.2747 -9.2790 -8.8520 Pr
7.3403 -9.4513 -2.8000 Pr
-2.5137 -5.9070 0.6051 Pr
9.4947 -5.0134 -1.1422 Pr
0.4764 -8.8483 1.0444 Pr
4.0276 -8.8982 -3.3163 Te
6.3746 -8.8236 -8.3048 Te
4.0762 -2.2734 1.8838 Te
-0.5724 -5.4310 10.8216 Te
11.7200 -2.6267 -1.6347 Te
9.1397 -6.9255 -3.9286 Te
-5.9178 -11.6279 4.1515 Te
-3.3374 -7.3291 6.4454 Te
1.7260 -11.9813 0.6329 Te
6.9320 -6.3922 4.1815 Te
-1.1298 -7.8624 -1.6647 Te
1.7746 -5.3564 5.8331 Te
-0.8057 -9.6552 3.5392 Ag
2.9011 -7.1273 1.2584 Ag
4.4910 -10.0831 5.0091 Ag
1.3112 -4.1715 -2.4924 Ag
4.5850 -6.4668 9.1700 Ag
6.6080 -4.5994 -1.0224 Ag
-1.0358 -4.2461 2.4961 Ag
9.3730 -2.7013 3.3538 Ag
5.6208 -2.2207 6.6739 Ag
-3.8948 -9.7605 -6.0409 Ag
-3.5707 -11.5533 -0.8370 Ag
-2.7197 -4.9066 -5.4155 Ag
-2.1623 -2.4752 7.0708 Ag
-4.8820 -7.3818 1.6553 Ag
5.0634 -4.6521 -5.8124 Ag
0.0000 0.0000 0.0000 Ag
7.7831 0.2545 -0.3970 Ag
1.2173 -7.7878 -6.6532 Ag
9.6970 -4.4941 8.5577 Ag
6.8380 -10.0086 0.0206 Ag
```

## Properties
N(E_F) = 1.477 states/eV per atom
ΔE_f (raw) = -0.1022 eV/atom
Crystal system = cubic
Space-group type = Ia-3d, No. 230

Density functional theory data (GGA-PBE) for Sr3UZn2O8 after structural relaxation.

The structure in POSCAR format:
```
Sr3UZn2O8
1.0
5.8400 0.0000 0.0000
-2.9200 5.0576 0.0000
0.0000 0.0000 7.4780
O Zn Sr U
8 2 3 1
Cartesian
-1.4720 4.2216 2.5043 O
2.9200 3.3855 4.9736 O
1.4480 0.8360 4.9736 O
0.0000 1.6720 2.5043 O
1.4720 4.2216 2.5043 O
4.3920 0.8360 4.9736 O
0.0000 3.3717 7.0491 O
2.9200 1.6859 0.4289 O
2.9200 1.6859 6.0833 Zn
0.0000 3.3717 1.3946 Zn
0.0000 0.0000 0.0000 Sr
0.0000 3.3717 4.8324 Sr
2.9200 1.6859 2.6455 Sr
0.0000 0.0000 3.7390 U
```

## Properties
ΔE_f (raw) = -2.4312 eV/atom
Crystal system = trigonal
Space-group type = P-3m1, No. 164

Density functional theory data (GGA-PBE) for Ca2AcErS4 after structural relaxation.

The structure in POSCAR format:
```
Ca2AcErS4
1.0
-0.4098 -2.4051 3.2271
1.5962 -5.6001 -3.9708
5.9528 2.6683 2.7446
S Er Ca Ac
4 1 2 1
Cartesian
5.4932 -3.4884 0.6336 S
1.6459 -1.8484 1.3672 S
4.7675 0.6899 1.1196 S
2.7814 -3.6216 -2.3458 S
0.0000 0.0000 0.0000 Er
3.7745 -1.4659 -0.6131 Ca
2.7715 0.1316 2.9858 Ca
0.5932 -4.0026 -0.3718 Ac
```

## Properties
N(E_F) = 0.457 states/eV per atom
ΔE_f (raw) = -1.9989 eV/atom
Crystal system = monoclinic
Space-group type = P2/m, No. 10

Density functional theory data (GGA-PBE) for GaHRu2Rh after structural relaxation.

The structure in POSCAR format:
```
GaHRu2Rh
1.0
-1.4324 -3.0291 -1.9121
2.5797 0.5565 -2.8141
2.5706 -2.4032 1.8813
Rh Ru Ga H
1 2 1 1
Cartesian
1.2853 -1.2016 0.9407 Rh
1.2898 0.2782 -1.4070 Ru
-0.7162 -1.5145 -0.9561 Ru
1.8590 -2.4379 -1.4224 Ga
0.0000 0.0000 0.0000 H
```

## Properties
N(E_F) = 1.386 states/eV per atom
Uncorrected energy = -6.47 eV per atom
Crystal system = tetragonal
Space-group type = P4/mmm, No. 123

Density functional theory data (GGA-PBE) for CsLiSnHg2 after structural relaxation.

The structure in POSCAR format:
```
CsLiSnHg2
1.0
-2.2018 -1.0784 -5.4780
5.5802 -0.6175 -2.1213
-0.1640 -5.2786 1.1050
Sn Hg Cs Li
1 2 1 1
Cartesian
0.0000 0.0000 0.0000 Sn
2.7901 -0.3087 -1.0607 Hg
-1.1009 -0.5392 -2.7390 Hg
1.6072 -3.4872 -3.2472 Cs
-0.0820 -2.6393 0.5525 Li
```

## Properties
N(E_F) = 0.767 states/eV per atom
Formation energy = -0.146 eV per atom
Crystal system = tetragonal
Space-group type = P4/mmm, No. 123
Energy relative to the lowest polymorph listed for this composition = 0.00 eV/f.u.

Density functional theory data (GGA-PBE) for Li12In3Pt after structural relaxation.

The structure in POSCAR format:
```
Li12In3Pt
1.0
4.4867 0.0000 0.0000
0.0000 4.4867 0.0000
0.0000 0.0000 13.8605
Li In Pt
12 3 1
Cartesian
0.0000 2.2434 5.0500 Li
2.2434 2.2434 3.2695 Li
2.2434 0.0000 5.0500 Li
0.0000 2.2434 12.4484 Li
2.2434 0.0000 12.4484 Li
2.2434 0.0000 1.4121 Li
2.2434 2.2434 0.0000 Li
0.0000 2.2434 8.8106 Li
2.2434 2.2434 6.9303 Li
0.0000 2.2434 1.4121 Li
2.2434 0.0000 8.8106 Li
2.2434 2.2434 10.5910 Li
0.0000 0.0000 6.9303 In
0.0000 0.0000 3.1295 In
0.0000 0.0000 10.7310 In
0.0000 0.0000 0.0000 Pt
```

## Properties
N(E_F) = 0.457 states/eV per atom
Formation energy = -0.245 eV per atom
Crystal system = tetragonal
Space-group type = P4/mmm, No. 123

Density functional theory data (GGA-PBE) for LiCuS after structural relaxation.

The structure in POSCAR format:
```
LiCuS
1.0
3.4295 0.0000 0.0000
0.0000 3.4295 0.0000
-1.7148 -1.7148 3.5019
Cu Li S
1 1 1
Cartesian
0.0000 0.0000 1.9472 Cu
1.7148 1.7148 0.8186 Li
1.7148 1.7148 3.1875 S
```

## Properties
N(E_F) = 0.020 states/eV per atom
ΔE_f (raw) = -0.4426 eV/atom
Crystal system = tetragonal
Space-group type = I4mm, No. 107

Density functional theory data (GGA-PBE) for PuMgCuIr after structural relaxation.

The structure in POSCAR format:
```
PuMgCuIr
1.0
4.7017 0.0000 0.0000
2.3508 4.0718 0.0000
2.3508 1.3573 3.8389
Cu Pu Mg Ir
1 1 1 1
Cartesian
2.3508 1.3573 0.9597 Cu
4.7017 2.7145 1.9194 Pu
0.0000 0.0000 0.0000 Mg
7.0525 4.0718 2.8792 Ir
```

## Properties
N(E_F) = 2.882 states/eV per atom
Formation energy = -0.178 eV per atom
Crystal system = cubic
Space-group type = F-43m, No. 216

Density functional theory data (GGA-PBE) for PrTl2Bi after structural relaxation.

The structure in POSCAR format:
```
PrTl2Bi
1.0
-4.6534 -1.1331 -1.1343
0.0324 -3.5489 3.4121
-1.6034 3.2185 3.3628
Bi Pr Tl
1 1 2
Cartesian
-3.1122 -0.7317 2.8203 Bi
-2.3267 -0.5666 -0.5671 Pr
-0.8017 1.6093 1.6814 Tl
0.0162 -1.7745 1.7061 Tl
```

## Properties
N(E_F) = 0.188 states/eV per atom
Formation energy = -0.407 eV per atom
Crystal system = tetragonal
Space-group type = P4/mmm, No. 123

Density functional theory data (GGA-PBE) for Pm2InH after structural relaxation.

The structure in POSCAR format:
```
Pm2InH
1.0
4.9598 0.0000 0.0000
0.0000 7.1343 0.0000
0.0000 0.0000 10.4360
Pm H In
8 4 4
Cartesian
1.2399 6.5768 8.4004 Pm
1.2399 3.0096 7.2535 Pm
3.7198 4.6094 9.8771 Pm
3.7198 4.1247 3.1825 Pm
3.7198 0.5575 2.0355 Pm
3.7198 1.0422 5.7768 Pm
1.2399 2.5250 0.5589 Pm
1.2399 6.0921 4.6591 Pm
1.2399 0.7101 6.4088 H
3.7198 6.4242 4.0271 H
1.2399 4.2773 9.2451 H
3.7198 2.8570 1.1908 H
1.2399 2.1862 3.8265 In
1.2399 5.7534 1.3914 In
3.7198 1.3809 9.0445 In
3.7198 4.9481 6.6094 In
```

## Properties
N(E_F) = 0.698 states/eV per atom
Crystal system = orthorhombic
Space-group type = Pnma, No. 62
Energy relative to the lowest polymorph listed for this composition = 0.00 eV/f.u.

Density functional theory data (GGA-PBE) for LiCaGaRu after structural relaxation.

The structure in POSCAR format:
```
LiCaGaRu
1.0
-3.8607 2.4886 -0.3143
-4.0394 -2.0960 -0.6977
-3.1239 -0.1608 3.3783
Ru Ga Li Ca
1 1 1 1
Cartesian
-8.2680 0.1738 1.7747 Ru
0.0000 0.0000 0.0000 Ga
-2.7560 0.0579 0.5916 Li
-5.5120 0.1159 1.1831 Ca
```

## Properties
N(E_F) = 0.659 states/eV per atom
Formation energy = -0.082 eV per atom
Crystal system = cubic
Space-group type = F-43m, No. 216

Density functional theory data (GGA-PBE) for Sm4TmMg7 after structural relaxation.

The structure in POSCAR format:
```
Sm4TmMg7
1.0
-4.6663 3.1770 0.8324
-3.7936 2.1917 -10.0729
-5.4513 -3.1636 1.0735
Mg Sm Tm
7 4 1
Cartesian
-6.1615 2.3168 -4.2664 Mg
-2.3331 1.5885 0.4162 Mg
-3.9521 -0.6604 -0.0759 Mg
-7.7497 -0.1117 -3.9007 Mg
-9.9591 2.8655 -8.0911 Mg
-10.0725 0.9631 -1.4660 Mg
-3.8387 1.2420 -6.7010 Mg
-3.4910 0.7835 -3.0018 Sm
-6.6609 0.7569 -1.1125 Sm
-7.2502 1.4483 -7.0545 Sm
-10.4202 1.4216 -5.1652 Sm
0.0000 0.0000 0.0000 Tm
```

## Properties
N(E_F) = 1.150 states/eV per atom
Formation energy = 0.134 eV per atom
Crystal system = monoclinic
Space-group type = C2/m, No. 12

It is found that the calculated volume values, taken in the order of the records, are 36.5 15.8 23.8 11.9 38.9 17.4 13.7 18.4 29.8 23.1 17.3 28.8 Å³/atom.
It is found that the density values, taken in the order of the records, are 5.945 5.712 5.249 10.507 5.637 3.707 4.135 11.841 10.560 7.300 5.241 4.526 Mg/m³.